No. 1
Below is a relaxed structure of Ca5Y, with properties calculated at the GGA-PBEsol level.

Cell lengths 3.7774, 3.7774, 16.1288 Å; angles 90.00, 90.00, 90.00 degrees
With the nearest neighbours (Å) after each atom.
Fractional coordinates of all 6 atoms:
Ca (0.0000, 0.0000, 0.0000)  12 Ca 3.78-3.85
Ca (0.0000, 0.0000, 0.3452)  4 Y 3.66, 8 Ca 3.78-3.86
Ca (0.0000, 0.0000, 0.6548)  4 Y 3.66, 8 Ca 3.78-3.86
Ca (0.5000, 0.5000, 0.1723)  12 Ca 3.78-3.86
Ca (0.5000, 0.5000, 0.8277)  12 Ca 3.78-3.86
Y (0.5000, 0.5000, 0.5000)  8 Ca 3.66, 4 Y 3.78

## Properties
E = -2.86 eV/atom
space group = P4/mmm (123)
energy above the lowest structure with this stoichiometry = 0.000 eV/atom
energy of formation from the pure elements = 0.0590 eV/atom

No. 2
Below is a relaxed structure of CuRh2, with properties calculated at the GGA-PBEsol level.

Cell lengths 5.9248, 5.9248, 3.7107 Å; angles 90.00, 90.00, 143.53 degrees
With the nearest neighbours (Å) after each atom.
Fractional coordinates of all 6 atoms:
Cu (0.0796, 0.9204, 0.7500)  2 Cu 2.58, 10 Rh 2.61-2.70
Cu (0.9204, 0.0796, 0.2500)  2 Cu 2.58, 10 Rh 2.61-2.70
Rh (0.2460, 0.7540, 0.2500)  8 Rh 2.60-2.67, 4 Cu 2.64-2.70
Rh (0.4165, 0.5835, 0.7500)  6 Rh 2.60-2.67, 6 Cu 2.61-2.62
Rh (0.5835, 0.4165, 0.2500)  6 Rh 2.60-2.67, 6 Cu 2.61-2.62
Rh (0.7540, 0.2460, 0.7500)  8 Rh 2.60-2.67, 4 Cu 2.64-2.70

## Properties
E = -6.78 eV/atom
space group = Cmcm (63)
energy above the lowest structure with this stoichiometry = 0.040 eV/atom
energy of formation from the pure elements = 0.0948 eV/atom

No. 3
Below is a relaxed structure of BaAl2Ag, with properties calculated at the GGA-PBEsol level.

Cell lengths 6.5461, 6.5461, 6.5461 Å; angles 40.10, 40.10, 40.10 degrees
With the nearest neighbours (Å) after each atom.
Fractional coordinates of all 4 atoms:
Ba (0.0000, 0.0000, 0.0000)  4 Ag 3.40-3.68, 7 Al 3.52-3.71
Al (0.5198, 0.5198, 0.5198)  3 Ag 2.59, 3 Al 2.77
Al (0.7990, 0.7990, 0.7990)  3 Al 2.77, 3 Ag 2.78
Ag (0.1885, 0.1885, 0.1885)  6 Al 2.59-2.78

## Properties
E = -3.61 eV/atom
space group = R3m (160)
energy of formation from the pure elements = -0.2009 eV/atom

No. 4
Below is a relaxed structure of RbCrGe2Ru, with properties calculated at the GGA-PBEsol level.

Cell lengths 5.2353, 5.2353, 4.7806 Å; angles 90.00, 90.00, 90.00 degrees
With the nearest neighbours (Å) after each atom.
Fractional coordinates of all 5 atoms:
Rb (0.0000, 0.0000, 0.0000)  2 Cr 2.39, 4 Ge 2.62
Cr (0.0000, 0.0000, 0.5000)  2 Rb 2.39
Ge (0.0000, 0.5000, 0.0000)  2 Rb 2.62
Ge (0.5000, 0.0000, 0.0000)  2 Rb 2.62
Ru (0.5000, 0.5000, 0.5000)  8 Ge 3.54, 4 Cr 3.70

## Properties
E = -3.48 eV/atom
space group = P4/mmm (123)
energy of formation from the pure elements = 2.7831 eV/atom

No. 5
Below is a relaxed structure of ReSbAu2, with properties calculated at the GGA-PBEsol level.

Cell lengths 3.4012, 3.4012, 6.0418 Å; angles 90.00, 90.00, 90.00 degrees
With the nearest neighbours (Å) after each atom.
Fractional coordinates of all 4 atoms:
Re (0.0000, 0.0000, 0.0000)  4 Sb 2.74, 5 Au 2.88-2.96
Sb (0.5000, 0.5000, 0.2165)  4 Re 2.74, 5 Au 2.89-2.99
Au (0.0000, 0.0000, 0.5105)  4 Au 2.77, 2 Re 2.96-3.08, 4 Sb 2.99
Au (0.5000, 0.5000, 0.7386)  4 Au 2.77, 4 Re 2.88, 1 Sb 2.89

## Properties
E = -6.02 eV/atom
space group = P4mm (99)
ΔE_f (raw) = 0.411 eV per atom

No. 6
Below is a relaxed structure of Na2TiCl, with properties calculated at the GGA-PBEsol level.

Cell lengths 5.3566, 5.3566, 5.3566 Å; angles 60.00, 60.00, 60.00 degrees
With the nearest neighbours (Å) after each atom.
Fractional coordinates of all 4 atoms:
Na (0.2500, 0.2500, 0.2500)  4 Cl 3.28, 4 Ti 3.28
Na (0.7500, 0.7500, 0.7500)  4 Cl 3.28, 4 Ti 3.28
Ti (0.0000, 0.0000, 0.0000)  8 Na 3.28
Cl (0.5000, 0.5000, 0.5000)  8 Na 3.28

## Properties
E = -2.89 eV/atom
space group = Fm-3m (225)
ΔE_f (raw) = 0.394 eV per atom

No. 7
Below is a relaxed structure of TaBrCl2, with properties calculated at the GGA-PBEsol level.

Cell lengths 3.3796, 3.3796, 9.8129 Å; angles 90.00, 90.00, 127.21 degrees
With the nearest neighbours (Å) after each atom.
Fractional coordinates of all 4 atoms:
Ta (0.0000, 0.0000, 0.0000)  2 Cl 2.44, 2 Br 2.56
Br (0.5000, 0.5000, 0.2116)  2 Ta 2.56
Cl (0.0000, 0.0000, 0.5017)  4 Cl 3.01-3.33, 2 Br 3.22
Cl (0.5000, 0.5000, 0.8041)  2 Ta 2.44

## Properties
E = -4.82 eV/atom
space group = Cmm2 (35)
energy above the lowest structure with this stoichiometry = 0.570 eV/atom
ΔE_f (raw) = -0.206 eV per atom

No. 8
Below is a relaxed structure of AlCrCo2, with properties calculated at the GGA-PBEsol level.

Cell lengths 2.5892, 2.5892, 6.4921 Å; angles 90.00, 90.00, 90.00 degrees
With the nearest neighbours (Å) after each atom.
Fractional coordinates of all 4 atoms:
Al (0.0000, 0.0000, 0.0000)  8 Co 2.46, 4 Al 2.59
Cr (0.0000, 0.0000, 0.5000)  8 Co 2.43, 4 Cr 2.59
Co (0.5000, 0.5000, 0.2536)  4 Cr 2.43, 4 Al 2.46, 4 Co 2.59
Co (0.5000, 0.5000, 0.7464)  4 Cr 2.43, 4 Al 2.46, 4 Co 2.59

## Properties
E = -7.70 eV/atom
space group = P4/mmm (123)
energy of formation from the pure elements = -0.2449 eV/atom